# Dy2Ga2Ge | the Alexandria database | PBE | relaxed
# uncorrected energy	-4.60	eV/atom
data_Dy2Ga2Ge
_chemical_formula_sum 'Dy4 Ga4 Ge2'
_space_group_name_H-M_alt 'A m m 2'
_space_group_IT_number 38
_cell_length_a 4.034
_cell_length_b 3.937
_cell_length_c 13.895
_cell_angle_alpha 90.00
_cell_angle_beta 90.00
_cell_angle_gamma 90.00
loop_
_space_group_symop_operation_xyz
'x,y,z'
'-x,-y,z'
'-x,y,z'
'x,-y,z'
'x,y+1/2,z+1/2'
'-x,-y+1/2,z+1/2'
'-x,y+1/2,z+1/2'
'x,-y+1/2,z+1/2'
loop_
_atom_site_label
_atom_site_type_symbol
_atom_site_fract_x
_atom_site_fract_y
_atom_site_fract_z
Dy1 Dy 0.000 0.000 0.000
Dy2 Dy 0.000 0.000 0.254
Ga1 Ga 0.500 0.000 0.630
Ga2 Ga 0.500 0.000 0.823
Ge1 Ge 0.500 0.000 0.433



# MgRuS2Cl | the Alexandria database | PBE | relaxed
# formation energy (no corrections)	0.4528	eV/atom
data_MgRuS2Cl
_chemical_formula_sum 'Mg1 Ru1 S2 Cl1'
_space_group_name_H-M_alt 'P 4/m m m'
_space_group_IT_number 123
_space_group_name_Hall '-P 4 2'
_cell_length_a 4.819
_cell_length_b 4.819
_cell_length_c 4.670
_cell_angle_alpha 90.00
_cell_angle_beta 90.00
_cell_angle_gamma 90.00
loop_
_atom_site_label
_atom_site_type_symbol
_atom_site_fract_x
_atom_site_fract_y
_atom_site_fract_z
Mg1 Mg 0.000 0.000 0.000
Ru1 Ru 0.500 0.500 0.500
S1 S 0.000 0.500 0.000
Cl1 Cl 0.000 0.000 0.500



# Ce2TeRh | the Alexandria database | PBE | relaxed
# formation energy (no corrections)	-0.9838	eV/atom
data_Ce2TeRh
_chemical_formula_sum 'Ce6 Te3 Rh3'
_space_group_name_H-M_alt 'R -3 m'
_space_group_IT_number 166
_space_group_name_Hall '-R 3 2"'
_cell_length_a 4.1344
_cell_length_b 4.1344
_cell_length_c 22.4894
_cell_angle_alpha 90.00
_cell_angle_beta 90.00
_cell_angle_gamma 120.00
loop_
_atom_site_label
_atom_site_type_symbol
_atom_site_fract_x
_atom_site_fract_y
_atom_site_fract_z
Ce1 Ce 0.0000 0.0000 0.2368
Te1 Te 0.0000 0.0000 0.0000
Rh1 Rh 0.0000 0.0000 0.5000



| no. | N(E_F) (states/eV/f.u.) |
| --- | --- |
| 1 | 2.59 |
| 2 | 4.10 |
| 3 | 11.25 |